{
  "formula": "Sc5Sn3",
  "functional": "PBE",
  "state": "optimized geometry",
  "cell": [[8.443, 0.000, 0.000], [-4.221, 7.312, 0.000], [0.000, 0.000, 6.082]],
  "species": ["Sc", "Sc", "Sc", "Sc", "Sc", "Sc", "Sc", "Sc", "Sc", "Sc", "Sn", "Sn", "Sn", "Sn", "Sn", "Sn"],
  "frac_coords": [[0.000, 0.236, 0.250], [0.000, 0.764, 0.750], [0.236, 0.000, 0.250], [0.236, 0.236, 0.750], [0.333, 0.667, 0.000], [0.333, 0.667, 0.500], [0.667, 0.333, 0.000], [0.667, 0.333, 0.500], [0.764, 0.000, 0.750], [0.764, 0.764, 0.250], [0.000, 0.395, 0.750], [0.000, 0.605, 0.250], [0.395, 0.000, 0.750], [0.395, 0.395, 0.250], [0.605, 0.000, 0.250], [0.605, 0.605, 0.750]],
  "space_group": "P6_3/mcm (193)",
  "delta_e_f_ev_per_atom": -0.6853
}

{
  "formula": "Ce4GeTeAs2",
  "functional": "PBE",
  "state": "optimized geometry",
  "cell": [[7.436, 0.000, 0.000], [0.000, 4.283, 0.000], [-2.463, 0.000, 7.029]],
  "species": ["Ce", "Ce", "Ce", "Ce", "Ge", "Te", "As", "As"],
  "frac_coords": [[0.235, 0.000, 0.235], [0.244, 0.500, 0.757], [0.756, 0.500, 0.243], [0.765, 0.000, 0.765], [0.000, 0.000, 0.500], [0.500, 0.500, 0.500], [0.000, 0.500, 0.000], [0.500, 0.000, 0.000]],
  "space_group": "P2/m (10)",
  "raw_formation_energy_ev_per_atom": -1.237
}

{
  "formula": "BaAsIr2",
  "functional": "PBE",
  "state": "optimized geometry",
  "cell": [[3.010, 0.000, 0.000], [0.000, 3.924, 0.000], [0.000, 0.000, 7.101]],
  "species": ["Ba", "As", "Ir", "Ir"],
  "frac_coords": [[0.000, 0.000, 0.000], [0.500, 0.500, 0.652], [0.000, 0.000, 0.485], [0.500, 0.500, 0.310]],
  "space_group": "Pmm2 (25)",
  "delta_e_f_ev_per_atom": 0.1091
}

{
  "formula": "BiS2O",
  "functional": "PBE",
  "state": "optimized geometry",
  "cell": [[2.006, 1.158, 6.902], [-2.006, 1.158, 6.902], [0.000, -2.316, 6.902]],
  "species": ["Bi", "S", "S", "O"],
  "frac_coords": [[0.000, 0.000, 0.000], [0.416, 0.416, 0.416], [0.584, 0.584, 0.584], [0.500, 0.500, 0.500]],
  "e_above_lowest_polymorph_mev_per_atom": 0,
  "space_group": "R-3m (166)",
  "raw_formation_energy_ev_per_atom": 0.103
}

{
  "formula": "La2RhN",
  "functional": "PBE",
  "state": "optimized geometry",
  "cell": [[1.895, 1.094, 6.964], [-1.895, 1.094, 6.964], [0.000, -2.188, 6.964]],
  "species": ["La", "La", "Rh", "N"],
  "frac_coords": [[0.238, 0.238, 0.238], [0.762, 0.762, 0.762], [0.000, 0.000, 0.000], [0.500, 0.500, 0.500]],
  "e_above_lowest_polymorph_mev_per_atom": 0,
  "space_group": "R-3m (166)",
  "raw_formation_energy_ev_per_atom": -0.844
}

{
  "formula": "TbPm7In2",
  "functional": "PBE",
  "state": "optimized geometry",
  "cell": [[4.656, -7.955, 0.000], [4.656, 7.955, 0.000], [0.000, 0.000, 5.428]],
  "species": ["Tb", "Pm", "Pm", "Pm", "Pm", "Pm", "Pm", "Pm", "In", "In"],
  "frac_coords": [[0.000, 0.000, 0.000], [0.061, 0.302, 0.500], [0.224, 0.776, 0.000], [0.302, 0.061, 0.500], [0.500, 0.500, 0.500], [0.698, 0.939, 0.500], [0.776, 0.224, 0.000], [0.939, 0.698, 0.500], [0.304, 0.696, 0.500], [0.696, 0.304, 0.500]],
  "space_group": "Cmmm (65)",
  "delta_e_f_ev_per_atom": 0.3247
}

{
  "formula": "Ta2SbTe",
  "functional": "PBE",
  "state": "optimized geometry",
  "cell": [[3.179, 0.000, 0.000], [0.000, 4.508, 0.000], [-0.855, 0.000, 5.868]],
  "species": ["Ta", "Ta", "Sb", "Te"],
  "frac_coords": [[0.247, 0.000, 0.257], [0.753, 0.000, 0.743], [0.000, 0.500, 0.500], [0.500, 0.500, 0.000]],
  "e_above_lowest_polymorph_mev_per_atom": 586,
  "space_group": "P2/m (10)",
  "raw_formation_energy_ev_per_atom": 0.527
}

{
  "formula": "SrBSe3",
  "functional": "PBE",
  "state": "optimized geometry",
  "cell": [[4.715, 0.000, 0.000], [0.000, 4.715, 0.000], [0.000, 0.000, 4.715]],
  "species": ["Sr", "B", "Se", "Se", "Se"],
  "frac_coords": [[0.000, 0.000, 0.000], [0.500, 0.500, 0.500], [0.000, 0.500, 0.500], [0.500, 0.000, 0.500], [0.500, 0.500, 0.000]],
  "e_above_lowest_polymorph_mev_per_atom": 575,
  "space_group": "Pm-3m (221)",
  "raw_formation_energy_ev_per_atom": -0.253
}

{
  "formula": "AgSbSI2",
  "functional": "PBE",
  "state": "optimized geometry",
  "cell": [[5.725, 0.000, 0.000], [0.000, 5.725, 0.000], [0.000, 0.000, 5.189]],
  "species": ["Ag", "Sb", "S", "I", "I"],
  "frac_coords": [[0.000, 0.000, 0.000], [0.500, 0.500, 0.000], [0.500, 0.500, 0.500], [0.000, 0.500, 0.500], [0.500, 0.000, 0.500]],
  "e_above_lowest_polymorph_mev_per_atom": 0,
  "space_group": "P4/mmm (123)",
  "raw_formation_energy_ev_per_atom": 0.604
}

{
  "formula": "PuSn4Bi",
  "functional": "PBE",
  "state": "optimized geometry",
  "cell": [[0.000, 4.376, 4.376], [4.376, 0.000, 4.376], [4.376, 4.376, 0.000]],
  "species": ["Pu", "Sn", "Sn", "Sn", "Sn", "Bi"],
  "frac_coords": [[0.000, 0.000, 0.000], [0.125, 0.625, 0.625], [0.625, 0.125, 0.625], [0.625, 0.625, 0.125], [0.625, 0.625, 0.625], [0.250, 0.250, 0.250]],
  "space_group": "F-43m (216)",
  "delta_e_f_ev_per_atom": -0.0306
}

{
  "formula": "La3InRu",
  "functional": "PBE",
  "state": "optimized geometry",
  "cell": [[5.165, 0.000, 0.000], [-2.583, 4.473, 0.000], [0.000, 0.000, 15.784]],
  "species": ["La", "La", "La", "La", "La", "La", "In", "In", "Ru", "Ru"],
  "frac_coords": [[0.000, 0.000, 0.250], [0.000, 0.000, 0.750], [0.333, 0.667, 0.084], [0.333, 0.667, 0.416], [0.667, 0.333, 0.584], [0.667, 0.333, 0.916], [0.000, 0.000, 0.000], [0.000, 0.000, 0.500], [0.333, 0.667, 0.250], [0.667, 0.333, 0.750]],
  "e_above_lowest_polymorph_mev_per_atom": 352,
  "space_group": "P6_3/mmc (194)",
  "delta_e_f_ev_per_atom": -0.0654
}

{
  "formula": "FeCoMo2",
  "functional": "PBE",
  "state": "optimized geometry",
  "cell": [[2.603, 0.000, 0.000], [0.000, 4.272, 0.000], [-0.699, 0.000, 4.904]],
  "species": ["Fe", "Co", "Mo", "Mo"],
  "frac_coords": [[0.000, 0.000, 0.000], [0.165, 0.500, 0.750], [0.482, 0.000, 0.517], [0.706, 0.500, 0.232]],
  "e_above_lowest_polymorph_mev_per_atom": 38,
  "space_group": "Pm (6)",
  "delta_e_f_ev_per_atom": 0.1257
}

{
  "formula": "Mg2Ru",
  "functional": "PBE",
  "state": "optimized geometry",
  "cell": [[4.575, 0.000, 0.000], [-2.287, 3.962, 0.000], [0.000, 0.000, 5.491]],
  "species": ["Mg", "Mg", "Mg", "Mg", "Ru", "Ru"],
  "frac_coords": [[0.000, 0.000, 0.000], [0.000, 0.000, 0.500], [0.333, 0.667, 0.250], [0.667, 0.333, 0.750], [0.333, 0.667, 0.750], [0.667, 0.333, 0.250]],
  "space_group": "P6_3/mmc (194)",
  "delta_e_f_ev_per_atom": 0.0529
}

{
  "formula": "LiMnFeCl5",
  "functional": "PBE",
  "state": "optimized geometry",
  "cell": [[4.494, -5.056, 0.000], [4.494, 5.056, 0.000], [-3.621, 0.000, 8.949]],
  "species": ["Li", "Li", "Mn", "Mn", "Fe", "Fe", "Cl", "Cl", "Cl", "Cl", "Cl", "Cl", "Cl", "Cl", "Cl", "Cl"],
  "frac_coords": [[0.000, 0.500, 0.000], [0.500, 0.000, 0.500], [0.109, 0.891, 0.750], [0.891, 0.109, 0.250], [0.442, 0.558, 0.750], [0.558, 0.442, 0.250], [0.117, 0.883, 0.250], [0.207, 0.350, 0.173], [0.253, 0.687, 0.566], [0.313, 0.747, 0.934], [0.350, 0.207, 0.673], [0.650, 0.793, 0.327], [0.687, 0.253, 0.066], [0.747, 0.313, 0.434], [0.793, 0.650, 0.827], [0.883, 0.117, 0.750]],
  "space_group": "C2/c (15)",
  "raw_formation_energy_ev_per_atom": -1.008
}

{
  "formula": "Be2CuMo",
  "functional": "PBE",
  "state": "optimized geometry",
  "cell": [[2.741, -3.367, 0.000], [2.741, 3.367, 0.000], [0.000, 0.000, 2.479]],
  "species": ["Be", "Be", "Cu", "Mo"],
  "frac_coords": [[0.000, 0.500, 0.000], [0.500, 0.000, 0.000], [0.000, 0.000, 0.500], [0.500, 0.500, 0.500]],
  "e_above_lowest_polymorph_mev_per_atom": 163,
  "space_group": "Cmmm (65)",
  "delta_e_f_ev_per_atom": 0.1050
}

{
  "formula": "BaSiPO2",
  "functional": "PBE",
  "state": "optimized geometry",
  "cell": [[4.359, 0.000, 0.000], [0.000, 4.359, 0.000], [0.000, 0.000, 6.789]],
  "species": ["Ba", "Si", "P", "O", "O"],
  "frac_coords": [[0.000, 0.000, 0.000], [0.500, 0.500, 0.500], [0.000, 0.000, 0.500], [0.000, 0.500, 0.000], [0.500, 0.000, 0.000]],
  "e_above_lowest_polymorph_mev_per_atom": 1569,
  "space_group": "P4/mmm (123)",
  "raw_formation_energy_ev_per_atom": 0.448
}

{
  "formula": "LiTaAs2",
  "functional": "PBE",
  "state": "optimized geometry",
  "cell": [[1.860, -2.447, 0.000], [1.860, 2.447, 0.000], [0.000, 0.000, 7.766]],
  "species": ["Li", "Ta", "As", "As"],
  "frac_coords": [[0.000, 0.000, 0.000], [0.000, 0.000, 0.500], [0.500, 0.500, 0.258], [0.500, 0.500, 0.742]],
  "e_above_lowest_polymorph_mev_per_atom": 142,
  "space_group": "Cmmm (65)",
  "delta_e_f_ev_per_atom": -0.2939
}

{
  "formula": "CeNbC2",
  "functional": "PBE",
  "state": "optimized geometry",
  "cell": [[3.293, 0.000, 0.000], [-1.646, 2.852, 0.000], [0.000, 0.000, 11.634]],
  "species": ["Ce", "Ce", "Nb", "Nb", "C", "C", "C", "C"],
  "frac_coords": [[0.333, 0.667, 0.250], [0.667, 0.333, 0.750], [0.000, 0.000, 0.000], [0.000, 0.000, 0.500], [0.333, 0.667, 0.608], [0.333, 0.667, 0.892], [0.667, 0.333, 0.108], [0.667, 0.333, 0.392]],
  "e_above_lowest_polymorph_mev_per_atom": 0,
  "space_group": "P6_3/mmc (194)",
  "delta_e_f_ev_per_atom": -0.3623
}

{
  "formula": "Tm8GaCo2",
  "functional": "PBE",
  "state": "optimized geometry",
  "cell": [[4.218, -6.375, 0.000], [4.218, 6.375, 0.000], [-1.297, 0.000, 5.088]],
  "species": ["Tm", "Tm", "Tm", "Tm", "Tm", "Tm", "Tm", "Tm", "Ga", "Co", "Co"],
  "frac_coords": [[0.068, 0.331, 0.580], [0.243, 0.757, 0.000], [0.331, 0.068, 0.580], [0.380, 0.380, 0.195], [0.620, 0.620, 0.805], [0.669, 0.932, 0.420], [0.757, 0.243, 0.000], [0.932, 0.669, 0.420], [0.000, 0.000, 0.000], [0.309, 0.691, 0.500], [0.691, 0.309, 0.500]],
  "space_group": "C2/m (12)",
  "delta_e_f_ev_per_atom": -0.1517
}

{
  "formula": "Mg2Zn2Ni5Sn",
  "functional": "PBE",
  "state": "optimized geometry",
  "cell": [[8.856, 0.000, 0.000], [0.000, 8.856, 0.000], [0.000, 0.000, 3.639]],
  "species": ["Mg", "Mg", "Mg", "Mg", "Zn", "Zn", "Zn", "Zn", "Ni", "Ni", "Ni", "Ni", "Ni", "Ni", "Ni", "Ni", "Ni", "Ni", "Sn", "Sn"],
  "frac_coords": [[0.174, 0.326, 0.000], [0.326, 0.826, 0.000], [0.674, 0.174, 0.000], [0.826, 0.674, 0.000], [0.122, 0.622, 0.000], [0.378, 0.122, 0.000], [0.622, 0.878, 0.000], [0.878, 0.378, 0.000], [0.000, 0.500, 0.500], [0.072, 0.795, 0.500], [0.205, 0.072, 0.500], [0.295, 0.572, 0.500], [0.428, 0.295, 0.500], [0.500, 0.000, 0.500], [0.572, 0.705, 0.500], [0.705, 0.428, 0.500], [0.795, 0.928, 0.500], [0.928, 0.205, 0.500], [0.000, 0.000, 0.000], [0.500, 0.500, 0.000]],
  "space_group": "P4/mbm (127)",
  "delta_e_f_ev_per_atom": -0.1719
}

no.,raw total energy (eV per atom)
1,-6.1436
2,-6.3366
3,-5.9644
4,-4.1703
5,-7.2265
6,-4.0114
7,-7.2152
8,-4.0159
9,-2.2358
10,-5.7347
11,-5.4247
12,-9.1820
13,-4.1021
14,-4.6053
15,-5.4900
16,-4.0866
17,-6.0602
18,-8.9752
19,-4.9708
20,-4.0366